1.
Na2Hf2MgSe6 | PBE | optimized geometry

Unit cell a=6.7349 b=6.7349 c=7.4612 alpha=98.50 beta=98.50 gamma=120.47
Last column: nearest neighbours and their distance in Å.
Positions (direct):
Na 0.1641 0.8359 0.0000  6 Se 3.00-3.03
Na 0.8359 0.1641 0.0000  6 Se 3.00-3.03
Hf 0.3330 0.6670 0.5000  6 Se 2.69-2.70
Hf 0.6670 0.3330 0.5000  6 Se 2.69-2.70
Mg 0.0000 0.0000 0.5000  6 Se 2.75-2.77
Se 0.0712 0.4137 0.7160  2 Hf 2.69, 1 Mg 2.77, 1 Na 3.00
Se 0.2702 0.2702 0.2856  2 Hf 2.70, 1 Mg 2.75
Se 0.4137 0.0712 0.7160  2 Hf 2.69, 1 Mg 2.77, 1 Na 3.00
Se 0.5863 0.9288 0.2840  2 Hf 2.69, 1 Mg 2.77, 1 Na 3.00
Se 0.7298 0.7298 0.7144  2 Hf 2.70, 1 Mg 2.75
Se 0.9288 0.5863 0.2840  2 Hf 2.69, 1 Mg 2.77, 1 Na 3.00

Mass density in kg/m3: 5373
VASP energy in eV per cell: -59.494
Space-group type: C2/m
E_form (uncorrected) in eV per atom: -1.3134

2.
La6Tl2In | PBE | optimized geometry

Unit cell a=9.8722 b=9.8722 c=8.3851 alpha=96.99 beta=96.99 gamma=21.58
Last column: nearest neighbours and their distance in Å.
Positions (direct):
La 0.0412 0.0412 0.1871  5 La 3.34-3.70, 2 In 3.38, 4 Tl 3.44-3.53
La 0.1510 0.1510 0.5711  2 Tl 3.39, 2 In 3.45, 5 La 3.63-3.75
La 0.2136 0.2136 0.1569  7 La 3.38-3.75, 3 Tl 3.41-3.50
La 0.7864 0.7864 0.8431  7 La 3.38-3.75, 3 Tl 3.41-3.50
La 0.8490 0.8490 0.4289  2 Tl 3.39, 2 In 3.45, 5 La 3.63-3.75
La 0.9588 0.9588 0.8129  5 La 3.34-3.70, 2 In 3.38, 4 Tl 3.44-3.53
Tl 0.3910 0.3910 0.1159  9 La 3.39-3.53, 1 In 3.63, 2 Tl 3.70
Tl 0.6090 0.6090 0.8841  9 La 3.39-3.53, 1 In 3.63, 2 Tl 3.70
In 0.5000 0.5000 0.5000  8 La 3.38-3.45, 2 Tl 3.63, 2 In 3.70

Mass density in kg/m3: 7556
VASP energy in eV per cell: -39.101
Energy of formation from the pure elements in eV/atom: -0.23
Space-group type: C2/m

3.
CuSb2Te | PBE | optimized geometry

Unit cell a=6.1408 b=6.1408 c=6.1408 alpha=138.81 beta=138.81 gamma=59.66
Last column: nearest neighbours and their distance in Å.
Positions (direct):
Cu 0.0000 0.0000 0.0000  4 Te 3.05
Sb 0.2500 0.7500 0.5000  4 Sb 3.05
Sb 0.7500 0.2500 0.5000  4 Sb 3.05
Te 0.5000 0.5000 0.0000  4 Cu 3.05

Mass density in kg/m3: 7261
VASP energy in eV per cell: -13.865
Space-group type: I4/mmm
E_form (uncorrected) in eV per atom: 0.4044

4.
Li5Cd4Pd2 | PBE | optimized geometry

Unit cell a=10.1523 b=10.1523 c=7.1297 alpha=106.34 beta=106.34 gamma=16.86
Last column: nearest neighbours and their distance in Å.
Positions (direct):
Li 0.0000 0.0000 0.0000  4 Pd 2.49, 4 Cd 2.74
Li 0.2723 0.2723 0.6909  1 Pd 2.48
Li 0.3262 0.3262 0.1224  1 Pd 2.56, 1 Cd 2.79
Li 0.6738 0.6738 0.8776  1 Pd 2.56, 1 Cd 2.79
Li 0.7277 0.7277 0.3091  1 Pd 2.48
Cd 0.1252 0.1252 0.4764  2 Pd 2.84, 5 Li 2.92-3.12, 2 Cd 2.98
Cd 0.4697 0.4697 0.2871  3 Li 2.74-2.79, 1 Pd 2.88, 3 Cd 2.93-2.98
Cd 0.5303 0.5303 0.7129  3 Li 2.74-2.79, 1 Pd 2.88, 3 Cd 2.93-2.98
Cd 0.8748 0.8748 0.5236  2 Pd 2.84, 5 Li 2.92-3.12, 2 Cd 2.98
Pd 0.3974 0.3974 0.8754  4 Li 2.48-2.56
Pd 0.6026 0.6026 0.1246  4 Li 2.48-2.56

Mass density in kg/m3: 5666
E above lowest polymorph in meV/atom: 79
VASP energy in eV per cell: -25.715
Energy of formation from the pure elements in eV/atom: -0.19
Space-group type: C2/m

5.
LiNdErOs | PBE | optimized geometry

Unit cell a=4.9574 b=4.9574 c=4.9574 alpha=60.00 beta=60.00 gamma=60.00
Last column: nearest neighbours and their distance in Å.
Positions (direct):
Li 0.0000 0.0000 0.0000  4 Er 3.04, 4 Nd 3.04
Nd 0.2500 0.2500 0.2500  4 Os 3.04, 4 Li 3.04
Er 0.7500 0.7500 0.7500  4 Os 3.04, 4 Li 3.04
Os 0.5000 0.5000 0.5000  4 Nd 3.04, 4 Er 3.04

Mass density in kg/m3: 9805
VASP energy in eV per cell: -23.125
Energy of formation from the pure elements in eV/atom: -0.16
Space-group type: F-43m

6.
Ac16Co5Ru3 | PBE | optimized geometry

Unit cell a=8.4588 b=8.4588 c=13.6594 alpha=90.06 beta=90.06 gamma=60.08
Last column: nearest neighbours and their distance in Å.
Positions (direct):
Ac 0.0000 0.0000 0.0000  2 Co 2.88, 1 Ru 2.92
Ac 0.1657 0.1657 0.5062  1 Co 2.92, 2 Ru 2.94
Ac 0.1689 0.6675 0.5047  2 Co 2.91-2.92, 1 Ru 2.93
Ac 0.3108 0.8440 0.7605  2 Co 2.91-2.97, 1 Ru 2.96
Ac 0.3355 0.3355 0.2728  1 Co 2.87, 2 Ru 2.91
Ac 0.3371 0.3371 0.7753  2 Co 2.87, 1 Ru 2.90
Ac 0.3564 0.8195 0.2600  2 Co 2.91-2.98, 1 Ru 2.96
Ac 0.5000 0.5000 0.0041  3 Co 2.87-2.91
Ac 0.5040 0.9994 0.0057  2 Co 2.90-2.93, 1 Ru 2.93
Ac 0.6661 0.6661 0.5017  1 Co 2.89, 2 Ru 2.92
Ac 0.6675 0.1689 0.5047  2 Co 2.91-2.92, 1 Ru 2.93
Ac 0.8195 0.3564 0.2600  2 Co 2.91-2.98, 1 Ru 2.96
Ac 0.8231 0.8231 0.2591  2 Ru 2.95, 1 Co 3.01
Ac 0.8440 0.3108 0.7605  2 Co 2.91-2.97, 1 Ru 2.96
Ac 0.8470 0.8470 0.7621  3 Co 2.91-2.93
Ac 0.9994 0.5040 0.0057  2 Co 2.90-2.93, 1 Ru 2.93
Co 0.1682 0.6678 0.8872  6 Ac 2.87-2.93
Co 0.5004 0.5004 0.3860  6 Ac 2.87-2.92
Co 0.6645 0.6645 0.1182  6 Ac 2.87-3.01
Co 0.6678 0.1682 0.8872  6 Ac 2.87-2.93
Co 0.9982 0.9982 0.6220  6 Ac 2.91-2.97
Ru 0.0018 0.4998 0.3875  6 Ac 2.91-2.96
Ru 0.1694 0.1694 0.8882  6 Ac 2.90-2.96
Ru 0.4998 0.0018 0.3875  6 Ac 2.91-2.96

Mass density in kg/m3: 8292
VASP energy in eV per cell: -131.299
Energy of formation from the pure elements in eV/atom: -0.09
Space-group type: Cm

7.
Be2OsPt | PBE | optimized geometry

Unit cell a=3.9714 b=3.9714 c=4.8528 alpha=99.85 beta=99.85 gamma=39.67
Last column: nearest neighbours and their distance in Å.
Positions (direct):
Be 0.2492 0.2492 0.2367  3 Os 2.37-2.41, 3 Pt 2.44-2.47
Be 0.7508 0.7508 0.7633  3 Os 2.37-2.41, 3 Pt 2.44-2.47
Os 0.5000 0.5000 0.0000  6 Be 2.37-2.41
Pt 0.0000 0.0000 0.5000  6 Be 2.44-2.47, 2 Pt 2.70

Mass density in kg/m3: 13940
VASP energy in eV per cell: -25.402
Energy of formation from the pure elements in eV/atom: -0.17
Space-group type: C2/m

8.
PrSmTh3 | PBE | optimized geometry

Unit cell a=8.3591 b=8.3591 c=8.3591 alpha=106.59 beta=88.57 gamma=137.69
Last column: nearest neighbours and their distance in Å.
Positions (direct):
Pr 0.5000 0.0000 0.0000  4 Th 3.45, 2 Sm 3.70
Pr 0.5000 0.5000 0.5000  4 Th 3.45, 2 Sm 3.70
Sm 0.0482 0.2982 0.7500  6 Th 3.49-3.65, 2 Pr 3.70
Sm 0.9518 0.7018 0.2500  6 Th 3.49-3.65, 2 Pr 3.70
Th 0.0000 0.0000 0.0000  6 Th 3.30-3.46, 2 Sm 3.49
Th 0.0000 0.3303 0.3303  6 Th 3.30-3.46, 2 Pr 3.45, 2 Sm 3.65
Th 0.0000 0.6697 0.6697  6 Th 3.30-3.46, 2 Pr 3.45, 2 Sm 3.65
Th 0.5000 0.0000 0.5000  6 Th 3.30-3.46, 2 Sm 3.49
Th 0.5000 0.3303 0.8303  6 Th 3.30-3.46, 2 Pr 3.45, 2 Sm 3.65
Th 0.5000 0.6697 0.1697  6 Th 3.30-3.46, 2 Pr 3.45, 2 Sm 3.65

Mass density in kg/m3: 9089
VASP energy in eV per cell: -60.002
Energy of formation from the pure elements in eV/atom: 0.35
Space-group type: Imma

9.
NdHoPd2 | PBE | optimized geometry

Unit cell a=7.0739 b=7.0739 c=7.0739 alpha=34.25 beta=34.25 gamma=34.25
Last column: nearest neighbours and their distance in Å.
Positions (direct):
Nd 0.0000 0.0000 0.0000  6 Pd 2.99
Ho 0.5000 0.5000 0.5000  6 Pd 2.86
Pd 0.2446 0.2446 0.2446  3 Ho 2.86, 3 Nd 2.99
Pd 0.7554 0.7554 0.7554  3 Ho 2.86, 3 Nd 2.99

Mass density in kg/m3: 8671
E above lowest polymorph in meV/atom: 149
VASP energy in eV per cell: -22.577
Energy of formation from the pure elements in eV/atom: -0.71
Space-group type: R-3m

10.
HoPdO3 | PBE | optimized geometry

Unit cell a=5.8075 b=5.8075 c=9.1737 alpha=107.95 beta=107.95 gamma=60.03
Last column: nearest neighbours and their distance in Å.
Positions (direct):
Ho 0.0100 0.6922 0.8653  6 O 2.25-2.46
Ho 0.3078 0.9900 0.6347  6 O 2.25-2.46
Ho 0.6922 0.0100 0.3653  6 O 2.25-2.46
Ho 0.9900 0.3078 0.1347  6 O 2.25-2.46
Pd 0.0000 0.5000 0.5000  6 O 2.02-2.25
Pd 0.3012 0.6988 0.2500  6 O 2.08-2.18
Pd 0.5000 0.0000 0.0000  6 O 2.02-2.25
Pd 0.6988 0.3012 0.7500  6 O 2.08-2.18
O 0.0921 0.2419 0.8642  2 Pd 2.10-2.25
O 0.1552 0.7155 0.4466  2 Pd 2.10-2.18, 1 Ho 2.25
O 0.2419 0.0921 0.3642  2 Pd 2.10-2.25
O 0.2845 0.8448 0.0534  2 Pd 2.10-2.18, 1 Ho 2.25
O 0.2874 0.4081 0.6929  2 Pd 2.02-2.08
O 0.4081 0.2874 0.1929  2 Pd 2.02-2.08
O 0.5919 0.7126 0.8071  2 Pd 2.02-2.08
O 0.7126 0.5919 0.3071  2 Pd 2.02-2.08
O 0.7155 0.1552 0.9466  2 Pd 2.10-2.18, 1 Ho 2.25
O 0.7581 0.9079 0.6358  2 Pd 2.10-2.25
O 0.8448 0.2845 0.5534  2 Pd 2.10-2.18, 1 Ho 2.25
O 0.9079 0.7581 0.1358  2 Pd 2.10-2.25

Mass density in kg/m3: 8469
VASP energy in eV per cell: -136.614
Space-group type: C2/c
E_form (uncorrected) in eV per atom: -1.9016

11.
Ba2Mg6Hg3 | PBE | optimized geometry

Unit cell a=8.9175 b=8.9175 c=4.6913 alpha=90.00 beta=90.00 gamma=120.00
Last column: nearest neighbours and their distance in Å.
Positions (direct):
Ba 0.3333 0.6667 0.0000  6 Hg 3.62, 9 Mg 3.74-4.01
Ba 0.6667 0.3333 0.0000  6 Hg 3.62, 9 Mg 3.74-4.01
Mg 0.0000 0.2780 0.5000  3 Hg 2.97-3.09, 4 Mg 3.22
Mg 0.0000 0.8043 0.0000  2 Hg 2.91, 6 Mg 3.02-3.22
Mg 0.1957 0.1957 0.0000  2 Hg 2.91, 6 Mg 3.02-3.22
Mg 0.2780 0.0000 0.5000  3 Hg 2.97-3.09, 4 Mg 3.22
Mg 0.7220 0.7220 0.5000  3 Hg 2.97-3.09, 4 Mg 3.22
Mg 0.8043 0.0000 0.0000  2 Hg 2.91, 6 Mg 3.02-3.22
Hg 0.0000 0.6112 0.5000  5 Mg 2.91-3.09
Hg 0.3888 0.3888 0.5000  5 Mg 2.91-3.09
Hg 0.6112 0.0000 0.5000  5 Mg 2.91-3.09

Mass density in kg/m3: 5254
VASP energy in eV per cell: -16.824
Energy of formation from the pure elements in eV/atom: -0.23
Space-group type: P-62m

12.
TiSb2O5 | PBE | optimized geometry

Unit cell a=6.1494 b=6.1494 c=6.1494 alpha=128.54 beta=128.54 gamma=75.75
Last column: nearest neighbours and their distance in Å.
Positions (direct):
Ti 0.0000 0.0000 0.0000  1 O 1.74
Sb 0.1847 0.6847 0.5000  4 O 2.14
Sb 0.6847 0.1847 0.5000  4 O 2.14
O 0.3200 0.3200 0.4762  1 Ti 1.97, 2 Sb 2.14
O 0.3200 0.8438 0.0000  1 Ti 1.97, 2 Sb 2.14
O 0.8211 0.8211 0.0000  1 Ti 1.74
O 0.8438 0.3200 0.0000  1 Ti 1.97, 2 Sb 2.14
O 0.8438 0.8438 0.5238  1 Ti 1.97, 2 Sb 2.14

Mass density in kg/m3: 4457
VASP energy in eV per cell: -55.610
Space-group type: I4mm
E_form (uncorrected) in eV per atom: -1.8349

13.
Tl2AsAuI | PBE | optimized geometry

Unit cell a=5.9763 b=5.9763 c=4.8995 alpha=90.00 beta=90.00 gamma=90.00
Last column: nearest neighbours and their distance in Å.
Positions (direct):
Tl 0.0000 0.5000 0.0000  2 As 2.99
Tl 0.5000 0.0000 0.0000  2 As 2.99
As 0.0000 0.0000 0.0000  2 Au 2.45
Au 0.0000 0.0000 0.5000  2 As 2.45
I 0.5000 0.5000 0.5000  8 Tl 3.86, 4 Au 4.23

Mass density in kg/m3: 7663
VASP energy in eV per cell: -14.635
Space-group type: P4/mmm
E_form (uncorrected) in eV per atom: -0.0851